(a)
ScRe2Pt (PBE-GGA, relaxed); SG = I-4m2; ρ = 15.9 g/cm³
1.0
4.730 0.000 0.000
1.083 4.605 0.000
-2.907 -2.302 2.937
Pt Re Sc
1 2 1
Direct
0.750 0.250 0.500
0.250 0.750 0.500
0.000 0.000 0.000
0.500 0.500 0.000

***

(b)
ScRe2Pt (PBE-GGA, relaxed); SG = R3m; ρ = 15.7 g/cm³
1.0
-5.702 -0.005 -7.264
-4.485 -2.577 -7.649
-6.733 -2.302 -5.885
Re Sc Pt
2 1 1
Direct
0.254 0.254 0.254
0.996 0.996 0.996
0.500 0.500 0.500
0.750 0.750 0.750

***

Energies relative to the most stable structure, in meV/atom: (a) 0; (b) 72.

***

(a)
Sc3RePt (PBE-GGA, relaxed); SG = Pm-3m; ρ = 7.1 g/cm³
1.0
-1.048 3.272 -3.539
0.945 -3.412 -3.434
-4.726 -1.408 0.098
Pt Sc Re
1 3 1
Direct
0.000 0.000 0.000
0.000 0.500 0.000
0.500 0.000 0.000
0.000 0.000 0.500
0.500 0.500 0.500

***

(b)
Sc3RePt (PBE-GGA, relaxed); SG = Pm-3m; ρ = 7.2 g/cm³
1.0
4.930 0.000 0.000
0.000 4.930 0.000
0.000 0.000 4.930
Sc Re Pt
3 1 1
Direct
0.500 0.000 0.000
0.000 0.500 0.000
0.000 0.000 0.500
0.000 0.000 0.000
0.500 0.500 0.500

***

Energies relative to the most stable structure, in meV/atom: (a) 183; (b) 0.

***

(a)
RePt3Se (PBE-GGA, relaxed); SG = Pm-3m; ρ = 12.5 g/cm³
1.0
-0.397 -3.805 2.951
3.055 2.090 3.106
-3.722 2.121 2.234
Pt Re Se
3 1 1
Direct
0.000 0.500 0.000
0.000 0.000 0.500
0.500 0.000 0.000
0.000 0.000 0.000
0.500 0.500 0.500

***

(b)
RePt3Se (PBE-GGA, relaxed); SG = Pm-3m; ρ = 14.0 g/cm³
1.0
4.660 0.000 0.000
0.000 4.660 0.000
0.000 0.000 4.660
Re Se Pt
1 1 3
Direct
0.500 0.500 0.500
0.000 0.000 0.000
0.000 0.000 0.500
0.000 0.500 0.000
0.500 0.000 0.000

***

Energies relative to the most stable structure, in meV/atom: (a) 59; (b) 0.

***

(a)
TaRePt2 (PBE-GGA, relaxed); SG = Pmm2; ρ = 19.8 g/cm³
1.0
2.778 0.000 0.000
0.000 3.995 0.000
0.000 0.000 5.736
Pt Re Ta
2 1 1
Direct
0.500 0.500 0.261
0.000 0.000 0.999
0.000 0.000 0.485
0.500 0.500 0.755

***

(b)
TaRePt2 (PBE-GGA, relaxed); SG = I4/mmm; ρ = 20.0 g/cm³
1.0
-3.658 3.353 -0.314
-4.167 -1.887 -1.949
3.051 -1.435 3.654
Ta Pt Re
1 2 1
Direct
0.250 0.750 0.500
0.000 0.000 0.000
0.500 0.500 0.000
0.750 0.250 0.500

***

Energies relative to the most stable structure, in meV/atom: (a) 106; (b) 0.

***

(a)
TaRePt2 (PBE-GGA, relaxed); SG = C2/m; ρ = 19.7 g/cm³
1.0
-0.503 3.515 3.399
0.629 1.170 4.733
4.291 1.981 -0.157
Ta Pt Re
1 2 1
Direct
0.250 0.250 0.250
0.004 0.004 0.994
0.496 0.496 0.506
0.750 0.750 0.750

***

(b)
TaRePt2 (PBE-GGA, relaxed); SG = P4/mmm; ρ = 19.9 g/cm³
1.0
2.765 -0.004 0.000
0.004 2.765 0.000
0.000 0.000 8.247
Pt Ta Re
2 1 1
Direct
0.000 0.000 0.494
0.000 0.000 0.006
0.500 0.500 0.750
0.500 0.500 0.250

***

Energies relative to the most stable structure, in meV/atom: (a) 39; (b) 0.

***

(a)
TaRePt2 (PBE-GGA, relaxed); SG = P2/m; ρ = 20.0 g/cm³
1.0
-3.171 2.273 -1.359
0.581 -0.738 -2.589
-2.769 -5.120 -2.103
Re Pt Ta
1 2 1
Direct
0.500 0.250 0.250
0.000 0.995 0.006
0.000 0.505 0.494
0.500 0.750 0.750

***

(b)
TaRePt2 (PBE-GGA, relaxed); SG = I-42d; ρ = 18.2 g/cm³
1.0
3.836 0.000 0.000
0.000 3.836 0.000
1.918 1.918 9.369
Ta Re Pt
2 2 4
Direct
0.250 0.750 0.500
0.500 0.500 0.000
0.000 0.000 0.000
0.750 0.250 0.500
0.375 0.370 0.750
0.875 0.880 0.750
0.630 0.125 0.250
0.120 0.625 0.250

***

Energies relative to the most stable structure, in meV/atom: (a) 0; (b) 499.

***

(a)
TaRePt2 (PBE-GGA, relaxed); SG = F-43m; ρ = 19.5 g/cm³
1.0
-4.482 -0.334 0.216
-2.203 -2.625 -2.915
-1.906 -3.824 1.412
Pt Re Ta
2 1 1
Direct
0.000 0.000 0.000
0.250 0.250 0.250
0.500 0.500 0.500
0.750 0.750 0.750

***

(b)
TaRePt2 (PBE-GGA, relaxed); SG = C2/m; ρ = 20.0 g/cm³
1.0
-3.709 -3.106 -3.820
0.469 -1.473 4.725
-2.711 0.337 0.378
Re Ta Pt
1 1 2
Direct
0.000 0.500 0.500
0.500 0.500 0.000
0.000 0.000 0.000
0.500 0.000 0.500

***

Energies relative to the most stable structure, in meV/atom: (a) 254; (b) 0.

***

(a)
TaRePt2 (PBE-GGA, relaxed); SG = Fm-3m; ρ = 19.3 g/cm³
1.0
4.510 -0.243 0.142
2.395 3.429 1.710
2.114 -0.477 3.966
Pt Re Ta
2 1 1
Direct
0.750 0.750 0.750
0.250 0.250 0.250
0.500 0.500 0.500
0.000 0.000 0.000

***

(b)
TaRePt2 (PBE-GGA, relaxed); SG = P4mm; ρ = 19.5 g/cm³
1.0
-0.334 2.689 1.976
1.921 -1.468 2.323
4.660 2.329 -2.382
Pt Ta Re
2 1 1
Direct
0.500 0.500 0.258
0.000 0.000 0.000
0.500 0.500 0.756
0.000 0.000 0.486

***

(c)
TaRePt2 (PBE-GGA, relaxed); SG = Cm; ρ = 19.8 g/cm³
1.0
-3.577 -3.288 -0.281
-2.194 -3.431 -2.665
2.508 -3.968 1.692
Pt Re Ta
2 1 1
Direct
0.755 0.755 0.733
0.996 0.996 0.005
0.500 0.500 0.523
0.248 0.248 0.239

***

Energies relative to the most stable structure, in meV/atom: (a) 419; (b) 51; (c) 0.